Entry 1:
Entry from Alexandria: ErTcP2Rh after structural relaxation (PBE-GGA).

a b c (Å): 4.0656 4.0656 5.5853
angles (deg): 111.34 111.34 90.00
Closest atoms and distances in Å follow each position.
Fractional positions:
1 Er 0.0000 0.0000 0.0000  8 P 3.11, 4 Rh 3.14, 4 Tc 3.14
2 Tc 0.2500 0.7500 0.5000  4 P 2.37
3 P 0.6226 0.6226 0.2453  1 P 2.35, 2 Rh 2.37, 2 Tc 2.37
4 P 0.3774 0.3774 0.7547  1 P 2.35, 2 Rh 2.37, 2 Tc 2.37
5 Rh 0.7500 0.2500 0.5000  4 P 2.37

## Properties
Energy relative to the elements   -1.0196 eV/atom

***

Entry 2:
Entry from Alexandria: SrSc2Ag after structural relaxation (PBE-GGA).

a b c (Å): 3.5075 3.5075 9.1622
angles (deg): 90.00 90.00 89.94
Closest atoms and distances in Å follow each position.
Fractional positions:
1 Ag 0.5000 0.5000 0.7500  8 Sc 2.97
2 Sc 0.0000 0.0000 0.9282  4 Ag 2.97, 1 Sc 3.27
3 Sc 0.0000 0.0000 0.5718  4 Ag 2.97, 1 Sc 3.27
4 Sr 0.5000 0.5000 0.2500  4 Sr 3.51, 8 Sc 3.85

## Properties
Energy relative to the elements   0.0823 eV/atom

***

The following D(E_F) values (in states/eV/atom) correspond, in order, to the records above: 0.41, 1.42.